(1)
PrSi2Pd after structural relaxation. Source: the Alexandria database, functional PBE.

Calculated values
Raw total energy   -193.01 eV for the cell shown
SG   Pnma, No. 62
Fermi-level density of states   1.4 states/eV/f.u.

a b c (Å): 4.1709 10.7373 13.7578
angles (deg): 90.00 90.00 90.00
With the nearest neighbours (Å) after each atom.
Sites, in units of the cell vectors:
Si: 0.2500 0.4693 0.8763  1 Si 2.39, 4 Pd 2.46-2.58
Si: 0.2500 0.2679 0.6163  2 Si 2.36, 3 Pd 2.40-2.54
Pd: 0.7500 0.1879 0.7019  5 Si 2.54-2.58
Pr: 0.2500 0.7516 0.0513  9 Si 3.05-3.31, 3 Pd 3.31-3.32
Si: 0.7500 0.7679 0.8837  2 Si 2.36, 3 Pd 2.40-2.54
Pr: 0.2500 0.5166 0.2997  10 Si 3.16-3.32, 4 Pd 3.17-3.41
Pd: 0.2500 0.0566 0.5583  4 Si 2.40-2.52
Si: 0.7500 0.7321 0.3837  2 Si 2.36, 3 Pd 2.40-2.54
Si: 0.2500 0.2775 0.7880  2 Si 2.36-2.39, 2 Pd 2.58
Si: 0.2500 0.4572 0.5290  3 Si 2.36-2.42
Pr: 0.7500 0.4834 0.7003  10 Si 3.16-3.32, 4 Pd 3.17-3.41
Si: 0.7500 0.5428 0.4710  3 Si 2.36-2.42
Si: 0.7500 0.5307 0.1237  1 Si 2.39, 4 Pd 2.46-2.58
Pd: 0.2500 0.4434 0.0583  4 Si 2.40-2.52
Si: 0.7500 0.7775 0.7120  2 Si 2.36-2.39, 2 Pd 2.58
Si: 0.7500 0.7225 0.2120  2 Si 2.36-2.39, 2 Pd 2.58
Si: 0.2500 0.2321 0.1163  2 Si 2.36, 3 Pd 2.40-2.54
Si: 0.2500 0.0307 0.3763  1 Si 2.39, 4 Pd 2.46-2.58
Pr: 0.2500 0.9834 0.7997  10 Si 3.16-3.32, 4 Pd 3.17-3.41
Pd: 0.7500 0.3121 0.2019  5 Si 2.54-2.58
Si: 0.7500 0.9572 0.9710  3 Si 2.36-2.42
Si: 0.2500 0.0428 0.0290  3 Si 2.36-2.42
Si: 0.2500 0.2225 0.2880  2 Si 2.36-2.39, 2 Pd 2.58
Pr: 0.7500 0.0166 0.2003  10 Si 3.16-3.32, 4 Pd 3.17-3.41
Pd: 0.2500 0.6879 0.7981  5 Si 2.54-2.58
Si: 0.7500 0.9693 0.6237  1 Si 2.39, 4 Pd 2.46-2.58
Pr: 0.7500 0.2484 0.9487  9 Si 3.05-3.31, 3 Pd 3.31-3.32
Pr: 0.7500 0.2516 0.4487  9 Si 3.05-3.31, 3 Pd 3.31-3.32
Pd: 0.7500 0.5566 0.9417  4 Si 2.40-2.52
Pd: 0.7500 0.9434 0.4417  4 Si 2.40-2.52
Pr: 0.2500 0.7484 0.5513  9 Si 3.05-3.31, 3 Pd 3.31-3.32
Pd: 0.2500 0.8121 0.2981  5 Si 2.54-2.58

***

(2)
Tb2ScGe2 after structural relaxation. Source: the Alexandria database, functional PBE.

Calculated values
SG   C2/m, No. 12
Fermi-level density of states   3.1 states/eV/f.u.
Formation energy   -0.77 eV/atom
Energy above the lowest structure with this stoichiometry   0.020 eV per formula unit

a b c (Å): 4.2972 6.3173 9.5644
angles (deg): 79.04 77.02 70.12
With the nearest neighbours (Å) after each atom.
Sites, in units of the cell vectors:
Ge: 0.8748 0.6852 0.5652  1 Ge 2.64, 3 Sc 2.68-2.79
Sc: 0.7771 0.0779 0.3678  4 Ge 2.68-2.85
Tb: 0.5151 0.6549 0.3149  6 Ge 2.99-3.19
Tb: 0.4849 0.3451 0.6851  6 Ge 2.99-3.19
Tb: 0.3180 0.2702 0.0937  5 Ge 3.04-3.27
Sc: 0.2229 0.9221 0.6322  4 Ge 2.68-2.85
Tb: 0.6819 0.7298 0.9063  5 Ge 3.04-3.27
Ge: 0.0163 0.8529 0.1145  1 Ge 2.58, 1 Sc 2.85
Ge: 0.9837 0.1471 0.8855  1 Ge 2.58, 1 Sc 2.85
Ge: 0.1252 0.3148 0.4348  1 Ge 2.64, 3 Sc 2.68-2.79

***

Please write out number 2 again, unchanged.
Tb2ScGe2 after structural relaxation. Source: the Alexandria database, functional PBE.

Calculated values
SG   C2/m, No. 12
Fermi-level density of states   3.1 states/eV/f.u.
Formation energy   -0.77 eV/atom
Energy above the lowest structure with this stoichiometry   0.020 eV per formula unit

a b c (Å): 4.2972 6.3173 9.5644
angles (deg): 79.04 77.02 70.12
With the nearest neighbours (Å) after each atom.
Sites, in units of the cell vectors:
Ge: 0.8748 0.6852 0.5652  1 Ge 2.64, 3 Sc 2.68-2.79
Sc: 0.7771 0.0779 0.3678  4 Ge 2.68-2.85
Tb: 0.5151 0.6549 0.3149  6 Ge 2.99-3.19
Tb: 0.4849 0.3451 0.6851  6 Ge 2.99-3.19
Tb: 0.3180 0.2702 0.0937  5 Ge 3.04-3.27
Sc: 0.2229 0.9221 0.6322  4 Ge 2.68-2.85
Tb: 0.6819 0.7298 0.9063  5 Ge 3.04-3.27
Ge: 0.0163 0.8529 0.1145  1 Ge 2.58, 1 Sc 2.85
Ge: 0.9837 0.1471 0.8855  1 Ge 2.58, 1 Sc 2.85
Ge: 0.1252 0.3148 0.4348  1 Ge 2.64, 3 Sc 2.68-2.79